# 1
VASP calculation (PBE-GGA) on a relaxed Ta2TiCoH crystal.

Summary:
**Total DFT energy (no corrections)**: -42.047 eV/cell

Unit cell a=4.268 b=4.268 c=3.585 alpha=90.00 beta=90.00 gamma=90.00
Space group P4/mmm (No. 123)
Asymmetric unit:
Ta 0.000 0.500 0.000 x2
Ti 0.000 0.000 0.500 x1
Co 0.500 0.500 0.500 x1
H 0.000 0.000 0.000 x1

# 2
VASP calculation (PBE-GGA) on a relaxed Pu4SnGe crystal.

Summary:
**Calculated formation energy**: -0.74 eV/f.u.

Unit cell a=5.3825 b=5.3825 c=18.9808 alpha=90.00 beta=90.00 gamma=120.00
Space group R-3m (No. 166, hexagonal axes)
Asymmetric unit:
Pu 0.0000 0.0000 0.1516 x6
Pu 0.0000 0.0000 0.3292 x6
Sn 0.0000 0.0000 0.5000 x3
Ge 0.0000 0.0000 0.0000 x3

# 3
VASP calculation (PBE-GGA) on a relaxed Nd3Tl2Hg3 crystal.

Summary:
**Calculated formation energy**: -2.59 eV/f.u.
**Offset from the most stable computed form**: 0 meV/atom

Unit cell a=9.2642 b=9.2642 c=6.5139 alpha=90.00 beta=90.00 gamma=120.00
Space group P6_3/mcm (No. 193)
Asymmetric unit:
Nd 0.0000 0.3308 0.2500 x6
Tl 0.3333 0.6667 0.0000 x4
Hg 0.0000 0.3276 0.7500 x6

# 4
VASP calculation (PBE-GGA) on a relaxed Se2S2F crystal.

Summary:
**Raw formation energy**: -254 meV per atom

Unit cell a=4.846 b=6.813 c=8.327 alpha=77.71 beta=75.88 gamma=80.13
Space group P-1 (No. 2)
Asymmetric unit:
Se 0.141 0.205 0.466 x2
Se 0.290 0.359 0.902 x2
S 0.108 0.925 0.667 x2
S 0.142 0.509 0.154 x2
F 0.390 0.258 0.678 x2

# 5
VASP calculation (PBE-GGA) on a relaxed PmDy4Tm2 crystal.

Summary:
**Calculated formation energy**: 0.24 eV/f.u.
**Offset from the most stable computed form**: 0 meV/atom

Unit cell a=16.594 b=3.514 c=8.698 alpha=90.00 beta=119.24 gamma=90.00
Space group C2/m (No. 12)
Asymmetric unit:
Pm 0.000 0.000 0.000 x2
Dy 0.140 0.500 0.831 x4
Dy 0.205 0.500 0.294 x4
Tm 0.071 0.000 0.430 x4

# 6
VASP calculation (PBE-GGA) on a relaxed Ta2InAs crystal.

Summary:
**Calculated formation energy**: 1.12 eV/f.u.
**Offset from the most stable computed form**: 305 meV/atom

Unit cell a=4.056 b=4.056 c=9.011 alpha=90.00 beta=90.00 gamma=90.00
Space group I-4m2 (No. 119)
Asymmetric unit:
Ta 0.000 0.000 0.000 x2
Ta 0.000 0.500 0.250 x2
In 0.000 0.000 0.500 x2
As 0.000 0.500 0.750 x2

# 7
VASP calculation (PBE-GGA) on a relaxed Te2O5 crystal.

Summary:
**Offset from the most stable computed form**: 127 meV/atom
**Raw formation energy**: -789 meV per atom

Unit cell a=13.571 b=5.220 c=5.657 alpha=90.00 beta=104.99 gamma=90.00
Space group C2/c (No. 15)
Asymmetric unit:
Te 0.141 0.227 0.289 x8
O 0.000 0.364 0.250 x4
O 0.107 0.074 0.956 x8
O 0.211 0.404 0.634 x8

# 8
VASP calculation (PBE-GGA) on a relaxed BaMgTl2Ru crystal.

Summary:
**Calculated formation energy**: -0.46 eV/f.u.

Unit cell a=5.332 b=5.332 c=5.120 alpha=90.00 beta=90.00 gamma=90.00
Space group P4/mmm (No. 123)
Asymmetric unit:
Ba 0.000 0.000 0.000 x1
Mg 0.500 0.500 0.000 x1
Tl 0.000 0.500 0.500 x2
Ru 0.500 0.500 0.500 x1